This record from Alexandria describes UCuPbO5 after structural relaxation. The functional is PBE-GGA.

Results
- Calculated total energy: -7.41 eV per atom
- Spin magnetization: 2.0 Bohr magnetons per cell

The structure in extended XYZ format:
```
16
Lattice="-5.5113 2.0353 1.0295 0.0273 -4.7099 -3.6596 1.8111 -3.4438 7.0931" Properties=species:S:1:pos:R:3 pbc="T T T"
Cu -3.2729 -1.0003 1.2910
Cu -0.4000 -5.1181 3.1720
O 0.9788 -6.2987 3.8825
O -1.8447 -0.8706 -0.0669
O -0.4842 -3.1465 3.0945
O 0.0810 -5.0848 -1.5485
O -3.1886 -2.9720 1.3685
O -3.2785 -0.4949 3.1736
O -4.6517 0.1803 0.5805
O -3.7539 -1.0336 6.0115
O -1.8282 -5.2479 4.5299
O -0.3944 -5.6236 1.2894
Pb -2.3385 -2.7574 4.8131
Pb -1.3344 -3.3610 -0.3501
U 0.0000 0.0000 0.0000
U 0.9056 -1.7219 3.5466
```